Be2V2Ge: optimized geometry, PBE.

Structure (POSCAR):
```
Be2V2Ge
1.0
5.7925 0.0000 0.0000
0.0000 5.7925 0.0000
0.0000 0.0000 3.3772
V Be Ge
4 4 2
direct
0.8244 0.3244 0.5000 V
0.6756 0.8244 0.5000 V
0.1756 0.6756 0.5000 V
0.3244 0.1756 0.5000 V
0.3795 0.8795 0.0000 Be
0.6205 0.1205 0.0000 Be
0.1205 0.3795 0.0000 Be
0.8795 0.6205 0.0000 Be
0.0000 0.0000 0.0000 Ge
0.5000 0.5000 0.0000 Ge
```

Results
For the energy of formation, the calculation gives -13.1 kJ/mol of atoms. As for the calculated volume: 113.3 Å³ per cell. The value obtained for the theoretical density is 5.6 g/cm3. The density of states at the Fermi level is 0.682 states/eV per atom. As for the raw total energy: -6.1977 eV per atom.



BeV2Ge: optimized geometry, PBE.

Structure (POSCAR):
```
BeV2Ge
1.0
0.0000 2.9315 2.9315
2.9315 0.0000 2.9315
2.9315 2.9315 0.0000
V Be Ge
2 1 1
direct
0.2500 0.2500 0.2500 V
0.7500 0.7500 0.7500 V
0.0000 0.0000 0.0000 Be
0.5000 0.5000 0.5000 Ge
```

Results
For the energy of formation, the calculation gives 6.4 kJ/mol of atoms. As for the calculated volume: 50.4 Å³ per cell. As for the excess energy over the best structure of this formula in the dataset: 309 meV per atom. The value obtained for the theoretical density is 6.0 g/cm3. The density of states at the Fermi level is 1.439 states/eV per atom. As for the raw total energy: -6.5787 eV per atom.



Be3VGe: optimized geometry, PBE.

Structure (POSCAR):
```
Be3VGe
1.0
-0.0824 -1.1716 4.1444
4.2992 0.2230 0.1485
-0.2549 4.1392 1.1650
Be Ge V
3 1 1
direct
0.0000 0.5000 0.0000 Be
0.5000 0.0000 0.0000 Be
0.0000 0.0000 0.5000 Be
0.5000 0.5000 0.5000 Ge
0.0000 0.0000 0.0000 V
```

Results
For the energy of formation, the calculation gives 139.3 kJ/mol of atoms. As for the calculated volume: 79.9 Å³ per cell. As for the excess energy over the best structure of this formula in the dataset: 358 meV per atom. The value obtained for the theoretical density is 3.1 g/cm3. The density of states at the Fermi level is 0.950 states/eV per atom. As for the raw total energy: -3.5396 eV per atom.